# FeP2ClO

An optimized crystal structure of FeP2ClO (GGA+U, Alexandria via LeMat-Bulk).

offset from the most stable computed form	0.063	eV/atom
electronic total energy	-4.110	eV/atom
SG	P4/mmm, No. 123

Cell lengths 3.813, 3.813, 5.778 Å; angles 90.00, 90.00, 90.00 degrees
Atoms (fractional coordinates):
Fe  0.000  0.000  0.000
P  0.000  0.500  0.500
P  0.500  0.000  0.500
Cl  0.500  0.500  0.000
O  0.500  0.500  0.500